TmGa4Ni2 | GGA-PBE | relaxed

Output
- total DFT energy (no corrections) (Ry/atom) = -0.3340

a = 16.7045 Å, b = 4.1355 Å, c = 6.3843 Å
α = 90.00°, β = 90.00°, γ = 90.00°
Closest atoms and distances in Å follow each position.
Fractional coordinates of all 28 atoms:
Tm 0.1404 0.2500 0.0157  9 Ga 2.91-3.16, 4 Ni 3.05-3.16
Tm 0.3596 0.7500 0.5157  9 Ga 2.91-3.16, 4 Ni 3.05-3.16
Tm 0.6404 0.2500 0.4843  9 Ga 2.91-3.16, 4 Ni 3.05-3.16
Tm 0.8596 0.7500 0.9843  9 Ga 2.91-3.16, 4 Ni 3.05-3.16
Ga 0.0336 0.7500 0.8421  3 Ni 2.46-2.57
Ga 0.0709 0.2500 0.4972  4 Ni 2.44-2.68
Ga 0.1853 0.7500 0.3211  4 Ni 2.49-2.51, 1 Ga 2.59
Ga 0.1941 0.7500 0.7269  3 Ni 2.43-2.46, 1 Ga 2.59
Ga 0.3059 0.2500 0.2269  3 Ni 2.43-2.46, 1 Ga 2.59
Ga 0.3147 0.2500 0.8211  4 Ni 2.49-2.51, 1 Ga 2.59
Ga 0.4291 0.7500 0.9972  4 Ni 2.44-2.68
Ga 0.4664 0.2500 0.3421  3 Ni 2.46-2.57
Ga 0.5336 0.7500 0.6579  3 Ni 2.46-2.57
Ga 0.5709 0.2500 0.0028  4 Ni 2.44-2.68
Ga 0.6853 0.7500 0.1789  4 Ni 2.49-2.51, 1 Ga 2.59
Ga 0.6941 0.7500 0.7731  3 Ni 2.43-2.46, 1 Ga 2.59
Ga 0.8059 0.2500 0.2731  3 Ni 2.43-2.46, 1 Ga 2.59
Ga 0.8147 0.2500 0.6789  4 Ni 2.49-2.51, 1 Ga 2.59
Ga 0.9291 0.7500 0.5028  4 Ni 2.44-2.68
Ga 0.9664 0.2500 0.1579  3 Ni 2.46-2.57
Ni 0.0385 0.7500 0.2438  7 Ga 2.46-2.68
Ni 0.2164 0.2500 0.5278  7 Ga 2.43-2.51
Ni 0.2836 0.7500 0.0278  7 Ga 2.43-2.51
Ni 0.4615 0.2500 0.7438  7 Ga 2.46-2.68
Ni 0.5385 0.7500 0.2562  7 Ga 2.46-2.68
Ni 0.7164 0.2500 0.9722  7 Ga 2.43-2.51
Ni 0.7836 0.7500 0.4722  7 Ga 2.43-2.51
Ni 0.9615 0.2500 0.7562  7 Ga 2.46-2.68

---

Sr2Ga4IrPt3 | GGA-PBE | relaxed

Output
- total DFT energy (no corrections) (Ry/atom) = -0.3716

a = 4.3475 Å, b = 4.3475 Å, c = 10.5598 Å
α = 90.00°, β = 90.00°, γ = 90.00°
Closest atoms and distances in Å follow each position.
Fractional coordinates of all 10 atoms:
Sr 0.0000 0.5000 0.2444  8 Ga 3.32-3.47, 6 Pt 3.34-3.37, 2 Ir 3.37
Sr 0.5000 0.0000 0.7556  8 Ga 3.32-3.47, 6 Pt 3.34-3.37, 2 Ir 3.37
Ga 0.0000 0.0000 0.5000  4 Pt 2.58
Ga 0.0000 0.5000 0.8749  2 Ir 2.54, 3 Pt 2.54-2.57
Ga 0.5000 0.0000 0.1251  2 Ir 2.54, 3 Pt 2.54-2.57
Ga 0.5000 0.5000 0.5000  4 Pt 2.58
Ir 0.5000 0.5000 0.0000  4 Ga 2.54
Pt 0.0000 0.0000 0.0000  4 Ga 2.54
Pt 0.0000 0.5000 0.6315  5 Ga 2.57-2.58
Pt 0.5000 0.0000 0.3685  5 Ga 2.57-2.58

---

NaTaNi3 | GGA-PBE | relaxed

Output
- total DFT energy (no corrections) (Ry/atom) = -0.3758

a = 4.6401 Å, b = 4.6401 Å, c = 4.6401 Å
α = 90.00°, β = 90.00°, γ = 90.00°
Closest atoms and distances in Å follow each position.
Fractional coordinates of all 5 atoms:
Na 0.0000 0.0000 0.0000  12 Ni 3.28
Ta 0.5000 0.5000 0.5000  6 Ni 2.32
Ni 0.0000 0.5000 0.5000  2 Ta 2.32
Ni 0.5000 0.0000 0.5000  2 Ta 2.32
Ni 0.5000 0.5000 0.0000  2 Ta 2.32

---

ErMgPd6 | GGA-PBE | relaxed

Output
- total DFT energy (no corrections) (Ry/atom) = -0.3927

a = 4.0523 Å, b = 4.0523 Å, c = 8.0329 Å
α = 90.00°, β = 90.00°, γ = 90.00°
Closest atoms and distances in Å follow each position.
Fractional coordinates of all 8 atoms:
Er 0.0000 0.0000 0.0000  12 Pd 2.87-2.90
Mg 0.0000 0.0000 0.5000  12 Pd 2.81-2.87
Pd 0.0000 0.5000 0.2584  2 Mg 2.81, 8 Pd 2.81-2.90, 2 Er 2.90
Pd 0.0000 0.5000 0.7416  2 Mg 2.81, 8 Pd 2.81-2.90, 2 Er 2.90
Pd 0.5000 0.0000 0.2584  2 Mg 2.81, 8 Pd 2.81-2.90, 2 Er 2.90
Pd 0.5000 0.0000 0.7416  2 Mg 2.81, 8 Pd 2.81-2.90, 2 Er 2.90
Pd 0.5000 0.5000 0.0000  4 Er 2.87, 8 Pd 2.90
Pd 0.5000 0.5000 0.5000  8 Pd 2.81, 4 Mg 2.87